P3PtN | PBE | optimized geometry

Summary:
**Distance to the lowest polymorph of the same formula**: 0.000 eV/atom
**N(E_F)**: 0.77 states/eV/f.u.
**ΔE_f (raw)**: 0.7365 eV/atom

Cell: 4.0302 4.0302 4.0302 Å, 90.00 90.00 90.00°
Last column: nearest neighbours and their distance in Å.
Space group Pm-3m (No. 221)
One atom of each set of equivalent atoms:
P  0.0000  0.0000  0.5000  2 N 2.02
Pt  0.5000  0.5000  0.5000  12 P 2.85
N  0.0000  0.0000  0.0000  6 P 2.02